DFT (PBE) results for an optimized crystal structure of SrTbGa2Au2.

Cell: 4.6335 4.6335 7.5519 Å, 90.00 90.00 120.00°
Closest atoms and distances in Å follow each position.
Positions (direct):
Au 0.3333 0.6667 0.2933  3 Ga 2.68
Sr 0.0000 0.0000 0.0000  6 Ga 3.47, 6 Au 3.47, 2 Tb 3.78
Au 0.6667 0.3333 0.7067  3 Ga 2.68
Ga 0.3333 0.6667 0.7076  3 Au 2.68
Tb 0.0000 0.0000 0.5000  6 Au 3.10, 6 Ga 3.10
Ga 0.6667 0.3333 0.2924  3 Au 2.68

Properties
**ΔH_f (0 K)**: -4.46 eV per formula unit
**M_tot**: 0.0 μB/f.u.